No. 1
# CaEuAl | Alexandria | GGA-PBE | optimized geometry
data_CaEuAl
_chemical_formula_sum 'Ca1 Eu1 Al1'
_cell_length_a 3.770
_cell_length_b 3.770
_cell_length_c 7.216
_cell_angle_alpha 105.15
_cell_angle_beta 105.15
_cell_angle_gamma 90.00
_space_group_name_H-M_alt 'P 1'
_space_group_IT_number 1
_space_group_name_Hall 'P 1'
loop_
_atom_site_label
_atom_site_fract_x
_atom_site_fract_y
_atom_site_fract_z
_atom_site_occupancy
Al1 0.953 0.953 0.906 1
Eu1 0.311 0.311 0.623 1
Ca1 0.586 0.586 0.172 1
# Energy relative to the lowest polymorph listed for this composition = 0.000 eV/atom
# Energy of formation from the pure elements = -0.15 eV/atom

No. 2
# CaEuAl | Alexandria | GGA-PBE | optimized geometry
data_CaEuAl
_chemical_formula_sum 'Ca1 Eu1 Al1'
_cell_length_a 3.502
_cell_length_b 5.416
_cell_length_c 5.416
_cell_angle_alpha 120.00
_cell_angle_beta 90.00
_cell_angle_gamma 90.00
_space_group_name_H-M_alt 'P 1'
_space_group_IT_number 1
_space_group_name_Hall 'P 1'
loop_
_atom_site_label
_atom_site_fract_x
_atom_site_fract_y
_atom_site_fract_z
_atom_site_occupancy
Ca1 0.362 0.333 0.667 1
Al1 0.642 0.667 0.333 1
Eu1 0.996 0.000 0.000 1
# Energy relative to the lowest polymorph listed for this composition = 0.112 eV/atom
# Energy of formation from the pure elements = -0.03 eV/atom